(1)
Computed, not measured: KFeCu2 after structural relaxation at the PBE-GGA level of DFT.

Output
Crystal system ... trigonal
E_form ... 2.91 eV/f.u.
E ... -3.71 eV per atom
Energy above the most stable polymorph in this dataset ... 0.212 eV per atom

abc: 2.8873 2.8873 28.1010
angles: 90.00 90.00 120.00
Last column: nearest neighbours and their distance in Å.
Space group R-3m (No. 166, hexagonal axes)
Inequivalent atoms, fractional coordinates:
K (0.0000, 0.0000, 0.0000) (multiplicity 3)  6 K 2.89
Fe (0.0000, 0.0000, 0.5000) (multiplicity 3)  6 Cu 2.52
Cu (0.0000, 0.0000, 0.2341) (multiplicity 6)  3 Fe 2.52

***

(2)
Computed, not measured: CoTc2Pt after structural relaxation at the PBE-GGA level of DFT.

Output
Crystal system ... tetragonal
E_form ... -0.08 eV/f.u.
E ... -8.49 eV per atom
Energy above the most stable polymorph in this dataset ... 0.028 eV per atom

abc: 2.6718 2.6718 7.7008
angles: 90.00 90.00 90.00
Last column: nearest neighbours and their distance in Å.
Space group P4/mmm (No. 123)
Inequivalent atoms, fractional coordinates:
Co (0.0000, 0.0000, 0.0000) (multiplicity 1)  8 Tc 2.59, 4 Co 2.67
Tc (0.5000, 0.5000, 0.2302) (multiplicity 2)  4 Co 2.59, 4 Tc 2.67, 4 Pt 2.81
Pt (0.0000, 0.0000, 0.5000) (multiplicity 1)  4 Pt 2.67, 8 Tc 2.81

***

(3)
Computed, not measured: LaZrCd after structural relaxation at the PBE-GGA level of DFT.

Output
Crystal system ... cubic
E_form ... 2.57 eV/f.u.
E ... -3.94 eV per atom
Energy above the most stable polymorph in this dataset ... 0.964 eV per atom

abc: 7.2556 7.2556 7.2556
angles: 90.00 90.00 90.00
Last column: nearest neighbours and their distance in Å.
Space group F-43m (No. 216)
Inequivalent atoms, fractional coordinates:
La (0.0000, 0.0000, 0.0000) (multiplicity 4)  4 Zr 3.14, 4 Cd 3.14
Zr (0.2500, 0.2500, 0.2500) (multiplicity 4)  4 La 3.14
Cd (0.2500, 0.2500, 0.7500) (multiplicity 4)  4 La 3.14

***

(4)
Computed, not measured: LiDy3Y2Se6 after structural relaxation at the PBE-GGA level of DFT.

Output
Crystal system ... monoclinic
Uncorrected formation energy ... -1.756 eV/atom
E ... -5.89 eV per atom

abc: 7.0141 12.1792 7.0369
angles: 90.00 109.58 90.00
Last column: nearest neighbours and their distance in Å.
Space group C2/m (No. 12)
Inequivalent atoms, fractional coordinates:
Li (0.0000, 0.0000, 0.0000) (multiplicity 2)  6 Se 2.78-2.79
Dy (0.0000, 0.1676, 0.5000) (multiplicity 4)  6 Se 2.86-2.93
Dy (0.0000, 0.5000, 0.5000) (multiplicity 2)  6 Se 2.86-2.96
Y (0.0000, 0.3346, 0.0000) (multiplicity 4)  6 Se 2.87-2.89
Se (0.2406, 0.0000, 0.7563) (multiplicity 4)  1 Li 2.78, 2 Y 2.87, 3 Dy 2.87-2.96
Se (0.2431, 0.1619, 0.2453) (multiplicity 8)  1 Li 2.79, 3 Dy 2.86-2.93, 2 Y 2.88-2.89

***

(5)
Computed, not measured: Pm3Dy5Er after structural relaxation at the PBE-GGA level of DFT.

Output
Crystal system ... monoclinic
E_form ... 2.57 eV/f.u.
E ... -4.36 eV per atom
Energy above the most stable polymorph in this dataset ... 0.013 eV per atom

abc: 17.6376 6.3095 11.5352
angles: 90.00 107.56 90.00
Last column: nearest neighbours and their distance in Å.
Space group C2/c (No. 15)
Inequivalent atoms, fractional coordinates:
Pm (0.0000, 0.0000, 0.0000) (multiplicity 4)  2 Er 2.97
Pm (0.1522, 0.3253, 0.0218) (multiplicity 8)  1 Pm 3.33, 6 Dy 3.38-3.72, 1 Er 3.71
Dy (0.0000, 0.4043, 0.2500) (multiplicity 4)  2 Er 3.05-3.26, 2 Dy 3.28
Dy (0.1693, 0.1745, 0.3918) (multiplicity 8)  4 Dy 3.28-3.46, 1 Er 3.45, 2 Pm 3.54-3.55
Dy (0.1759, 0.2768, 0.7254) (multiplicity 8)  1 Er 3.36, 3 Pm 3.38-3.58, 2 Dy 3.41-3.46
Er (0.0000, 0.1130, 0.7500) (multiplicity 4)  2 Pm 2.97, 2 Dy 3.05-3.26

***

(6)
Computed, not measured: CoHgPt2 after structural relaxation at the PBE-GGA level of DFT.

Output
Crystal system ... monoclinic
E_form ... 0.27 eV/f.u.
E ... -4.80 eV per atom

abc: 2.8607 3.6126 6.2009
angles: 90.00 90.09 90.00
Last column: nearest neighbours and their distance in Å.
Space group P2/m (No. 10)
Inequivalent atoms, fractional coordinates:
Co (0.0000, 0.0000, 0.0000) (multiplicity 1)  8 Pt 2.66-2.67, 2 Co 2.86
Hg (0.0000, 0.0000, 0.5000) (multiplicity 1)  2 Hg 2.86, 8 Pt 2.90, 2 Co 3.10
Pt (0.4992, 0.5000, 0.2165) (multiplicity 2)  4 Co 2.66-2.67, 3 Pt 2.68-2.86, 4 Hg 2.90

***

(7)
Computed, not measured: Nd3Er2Co2 after structural relaxation at the PBE-GGA level of DFT.

Output
Crystal system ... monoclinic
E_form ... -0.65 eV/f.u.
E ... -5.47 eV per atom

abc: 12.0737 3.7707 8.8822
angles: 90.00 115.04 90.00
Last column: nearest neighbours and their distance in Å.
Space group C2/m (No. 12)
Inequivalent atoms, fractional coordinates:
Nd (0.0000, 0.0000, 0.0000) (multiplicity 2)  4 Co 3.01
Nd (0.1146, 0.0000, 0.4249) (multiplicity 4)  3 Co 2.84-2.93
Er (0.1763, 0.5000, 0.8108) (multiplicity 4)  2 Co 2.69
Co (0.1848, 0.5000, 0.2418) (multiplicity 4)  2 Er 2.69, 5 Nd 2.84-3.01

***

(8)
Computed, not measured: Sm3Tm2Sc after structural relaxation at the PBE-GGA level of DFT.

Output
Crystal system ... monoclinic
E_form ... 0.17 eV/f.u.
E ... -4.88 eV per atom
Energy above the most stable polymorph in this dataset ... 0.000 eV per atom

abc: 17.4989 7.0869 6.1633
angles: 90.00 103.53 90.00
Last column: nearest neighbours and their distance in Å.
Space group C2/c (No. 15)
Inequivalent atoms, fractional coordinates:
Sm (0.0000, 0.1300, 0.2500) (multiplicity 4)  2 Tm 3.46, 4 Sc 3.47-3.62, 6 Sm 3.51-3.59
Sm (0.1665, 0.1264, 0.0233) (multiplicity 8)  5 Sm 3.48-3.56, 1 Sc 3.50, 6 Tm 3.51-3.60
Tm (0.1643, 0.3779, 0.5298) (multiplicity 8)  2 Sc 3.44-3.45, 7 Sm 3.46-3.60, 3 Tm 3.53-3.60
Sc (0.0000, 0.3804, 0.7500) (multiplicity 4)  4 Tm 3.44-3.45, 6 Sm 3.47-3.62, 2 Sc 3.52

***

no.,total moment (μB per formula unit)
1,3.109
2,0.983
3,1.214
4,0.000
5,0.000
6,2.467
7,0.000
8,0.000